Record 1
# MgAsAu PBE optimized geometry
# Calculated volume: 239.2 Å³/cell
# Energy relative to the elements: -0.31 eV per atom
# Spin magnetization: 0.0 μB per cell
data_MgAsAu
_chemical_formula_sum 'Mg4 As4 Au4'
_cell_length_a 4.704
_cell_length_b 7.061
_cell_length_c 7.203
_cell_angle_alpha 90.00
_cell_angle_beta 90.00
_cell_angle_gamma 90.00
_symmetry_space_group_name_H-M 'C m c 21'
_symmetry_Int_Tables_number 36
loop_
_symmetry_equiv_pos_as_xyz
'x,y,z'
'-x,-y,z+1/2'
'-x,y,z'
'x,-y,z+1/2'
'x+1/2,y+1/2,z'
'-x+1/2,-y+1/2,z+1/2'
'-x+1/2,y+1/2,z'
'x+1/2,-y+1/2,z+1/2'
loop_
_atom_site_label
_atom_site_fract_x
_atom_site_fract_y
_atom_site_fract_z
Mg1 0.000 0.044 0.000
As1 0.000 0.331 0.698
Au1 0.000 0.306 0.325


Record 2
# CaBSbI2 PBE optimized geometry
# Calculated volume: 141.3 Å³/cell
# ΔE_f (raw): 0.22 eV/atom
# ΔE to the lowest computed polymorph: 0.00 eV per formula unit
# Spin magnetization: 0.0 μB per cell
data_CaBSbI2
_chemical_formula_sum 'Ca1 B1 Sb1 I2'
_cell_length_a 5.432
_cell_length_b 5.432
_cell_length_c 4.790
_cell_angle_alpha 90.00
_cell_angle_beta 90.00
_cell_angle_gamma 90.00
_symmetry_space_group_name_H-M 'P 4/m m m'
_symmetry_Int_Tables_number 123
_symmetry_space_group_name_Hall '-P 4 2'
loop_
_atom_site_label
_atom_site_fract_x
_atom_site_fract_y
_atom_site_fract_z
Ca1 0.000 0.000 0.000
B1 0.500 0.500 0.500
Sb1 0.500 0.500 0.000
I1 0.000 0.500 0.500


Record 3
# BaLaAs2 PBE optimized geometry
# Calculated volume: 132.5 Å³/cell
# ΔE to the lowest computed polymorph: 0.33 eV per formula unit
# Energy relative to the elements: -1.09 eV per atom
# Spin magnetization: 0.0 μB per cell
data_BaLaAs2
_chemical_formula_sum 'Ba1 La1 As2'
_cell_length_a 4.537
_cell_length_b 4.537
_cell_length_c 6.437
_cell_angle_alpha 90.00
_cell_angle_beta 90.00
_cell_angle_gamma 90.00
_symmetry_space_group_name_H-M 'P 4/m m m'
_symmetry_Int_Tables_number 123
_symmetry_space_group_name_Hall '-P 4 2'
loop_
_atom_site_label
_atom_site_fract_x
_atom_site_fract_y
_atom_site_fract_z
Ba1 0.000 0.000 0.000
La1 0.500 0.500 0.500
As1 0.000 0.000 0.500
As2 0.500 0.500 0.000


Record 4
# Ta2TiAs PBE optimized geometry
# Calculated volume: 309.9 Å³/cell
# Energy relative to the elements: 0.27 eV per atom
# Spin magnetization: 0.0 μB per cell
data_Ta2TiAs
_chemical_formula_sum 'Ta8 Ti4 As4'
_cell_length_a 7.838
_cell_length_b 7.838
_cell_length_c 5.045
_cell_angle_alpha 90.00
_cell_angle_beta 90.00
_cell_angle_gamma 90.00
_symmetry_space_group_name_H-M 'I -4 2 d'
_symmetry_Int_Tables_number 122
_symmetry_space_group_name_Hall 'I -4 2bw'
loop_
_atom_site_label
_atom_site_fract_x
_atom_site_fract_y
_atom_site_fract_z
Ta1 0.192 0.250 0.125
Ti1 0.000 0.000 0.500
As1 0.000 0.000 0.000


Record 5
# DySc2AgN PBE optimized geometry
# Calculated volume: 95.0 Å³/cell
# ΔE_f (raw): -0.85 eV/atom
# Spin magnetization: 0.0 μB per cell
data_DySc2AgN
_chemical_formula_sum 'Dy1 Sc2 Ag1 N1'
_cell_length_a 4.425
_cell_length_b 4.425
_cell_length_c 4.855
_cell_angle_alpha 90.00
_cell_angle_beta 90.00
_cell_angle_gamma 90.00
_symmetry_space_group_name_H-M 'P 4/m m m'
_symmetry_Int_Tables_number 123
_symmetry_space_group_name_Hall '-P 4 2'
loop_
_atom_site_label
_atom_site_fract_x
_atom_site_fract_y
_atom_site_fract_z
Dy1 0.000 0.000 0.000
Sc1 0.000 0.500 0.500
Ag1 0.500 0.500 0.000
N1 0.000 0.000 0.500


Record 6
# Th3H2Pb2 PBE optimized geometry
# Calculated volume: 165.0 Å³/cell
# Final energy: -5.5025 eV per atom
# Spin magnetization: 0.0 μB per cell
data_Th3H2Pb2
_chemical_formula_sum 'Th3 H2 Pb2'
_cell_length_a 3.580
_cell_length_b 6.409
_cell_length_c 8.127
_cell_angle_alpha 104.61
_cell_angle_beta 102.68
_cell_angle_gamma 105.93
_symmetry_space_group_name_H-M 'P -1'
_symmetry_Int_Tables_number 2
loop_
_symmetry_equiv_pos_as_xyz
'x,y,z'
'-x,-y,-z'
loop_
_atom_site_label
_atom_site_fract_x
_atom_site_fract_y
_atom_site_fract_z
Th1 0.000 0.000 0.000
Th2 0.443 0.642 0.242
H1 0.157 0.357 0.957
Pb1 0.201 0.776 0.625


Record 7
# Mg5Cd6Cu PBE optimized geometry
# Calculated volume: 498.4 Å³/cell
# Energy relative to the elements: -0.05 eV per atom
# Spin magnetization: 0.0 μB per cell
data_Mg5Cd6Cu
_chemical_formula_sum 'Mg10 Cd12 Cu2'
_cell_length_a 9.292
_cell_length_b 13.592
_cell_length_c 4.494
_cell_angle_alpha 90.00
_cell_angle_beta 118.57
_cell_angle_gamma 90.00
_symmetry_space_group_name_H-M 'C 1 2/m 1'
_symmetry_Int_Tables_number 12
loop_
_symmetry_equiv_pos_as_xyz
'x,y,z'
'-x,-y,-z'
'-x,y,-z'
'x,-y,z'
'x+1/2,y+1/2,z'
'-x+1/2,-y+1/2,-z'
'-x+1/2,y+1/2,-z'
'x+1/2,-y+1/2,z'
loop_
_atom_site_label
_atom_site_fract_x
_atom_site_fract_y
_atom_site_fract_z
Mg1 0.000 0.000 0.000
Mg2 0.000 0.165 0.500
Mg3 0.000 0.336 0.000
Cd1 0.238 0.500 0.239
Cd2 0.243 0.338 0.743
Cu1 0.000 0.500 0.500


Record 8
# SrRu2W PBE optimized geometry
# Calculated volume: 81.8 Å³/cell
# ΔE to the lowest computed polymorph: 1.65 eV per formula unit
# Energy relative to the elements: 0.69 eV per atom
# Spin magnetization: 0.0 μB per cell
data_SrRu2W
_chemical_formula_sum 'Sr1 Ru2 W1'
_cell_length_a 3.325
_cell_length_b 3.325
_cell_length_c 7.400
_cell_angle_alpha 90.00
_cell_angle_beta 90.00
_cell_angle_gamma 90.00
_symmetry_space_group_name_H-M 'P 4 m m'
_symmetry_Int_Tables_number 99
loop_
_symmetry_equiv_pos_as_xyz
'x,y,z'
'-y,x,z'
'-x,-y,z'
'y,-x,z'
'-x,y,z'
'y,x,z'
'x,-y,z'
'-y,-x,z'
loop_
_atom_site_label
_atom_site_fract_x
_atom_site_fract_y
_atom_site_fract_z
Sr1 0.000 0.000 0.000
Ru1 0.000 0.000 0.499
Ru2 0.500 0.500 0.691
W1 0.500 0.500 0.357


Record 9
# SrCaMg2Ir PBE optimized geometry
# Calculated volume: 147.0 Å³/cell
# Energy relative to the elements: -0.16 eV per atom
# Spin magnetization: 0.0 μB per cell
data_SrCaMg2Ir
_chemical_formula_sum 'Sr1 Ca1 Mg2 Ir1'
_cell_length_a 5.228
_cell_length_b 5.228
_cell_length_c 5.379
_cell_angle_alpha 90.00
_cell_angle_beta 90.00
_cell_angle_gamma 90.00
_symmetry_space_group_name_H-M 'P 4/m m m'
_symmetry_Int_Tables_number 123
_symmetry_space_group_name_Hall '-P 4 2'
loop_
_atom_site_label
_atom_site_fract_x
_atom_site_fract_y
_atom_site_fract_z
Sr1 0.000 0.000 0.000
Ca1 0.500 0.500 0.000
Mg1 0.000 0.500 0.500
Ir1 0.500 0.500 0.500


Record 10
# ScRuPt2 PBE optimized geometry
# Calculated volume: 128.3 Å³/cell
# Energy relative to the elements: -0.53 eV per atom
# Spin magnetization: 0.0 μB per cell
data_ScRuPt2
_chemical_formula_sum 'Sc2 Ru2 Pt4'
_cell_length_a 9.327
_cell_length_b 2.876
_cell_length_c 4.869
_cell_angle_alpha 90.00
_cell_angle_beta 100.79
_cell_angle_gamma 90.00
_symmetry_space_group_name_H-M 'C 1 m 1'
_symmetry_Int_Tables_number 8
loop_
_symmetry_equiv_pos_as_xyz
'x,y,z'
'x,-y,z'
'x+1/2,y+1/2,z'
'x+1/2,-y+1/2,z'
loop_
_atom_site_label
_atom_site_fract_x
_atom_site_fract_y
_atom_site_fract_z
Sc1 0.000 0.000 0.000
Ru1 0.249 0.500 0.286
Pt1 0.250 0.000 0.767
Pt2 0.494 0.000 0.487


Record 11
# MgSc6Rh5 PBE optimized geometry
# Calculated volume: 420.1 Å³/cell
# Energy relative to the elements: -0.84 eV per atom
# Spin magnetization: 0.0 μB per cell
data_MgSc6Rh5
_chemical_formula_sum 'Mg2 Sc12 Rh10'
_cell_length_a 4.614
_cell_length_b 6.561
_cell_length_c 13.878
_cell_angle_alpha 90.00
_cell_angle_beta 90.00
_cell_angle_gamma 90.00
_symmetry_space_group_name_H-M 'I m m m'
_symmetry_Int_Tables_number 71
_symmetry_space_group_name_Hall '-I 2 2'
loop_
_atom_site_label
_atom_site_fract_x
_atom_site_fract_y
_atom_site_fract_z
Mg1 0.000 0.000 0.000
Sc1 0.000 0.236 0.500
Sc2 0.000 0.256 0.172
Rh1 0.000 0.000 0.332
Rh2 0.000 0.500 0.000
Rh3 0.000 0.500 0.338


Record 12
# La3Tl PBE optimized geometry
# Calculated volume: 139.1 Å³/cell
# ΔE to the lowest computed polymorph: 0.57 eV per formula unit
# Energy relative to the elements: -0.10 eV per atom
# Spin magnetization: 0.0 μB per cell
data_La3Tl
_chemical_formula_sum 'La3 Tl1'
_cell_length_a 3.7320
_cell_length_b 3.7320
_cell_length_c 11.5348
_cell_angle_alpha 90.00
_cell_angle_beta 90.00
_cell_angle_gamma 120.00
_symmetry_space_group_name_H-M 'P -6 m 2'
_symmetry_Int_Tables_number 187
_symmetry_space_group_name_Hall 'P -6 2'
loop_
_atom_site_label
_atom_site_fract_x
_atom_site_fract_y
_atom_site_fract_z
La1 0.0000 0.0000 0.0000
La2 0.3333 0.6667 0.2657
Tl1 0.0000 0.0000 0.5000


Record 13
# Pm2Nd4SmTm PBE optimized geometry
# Calculated volume: 273.2 Å³/cell
# Energy relative to the elements: 0.01 eV per atom
# Spin magnetization: 0.0 μB per cell
data_Pm2Nd4SmTm
_chemical_formula_sum 'Pm2 Nd4 Sm1 Tm1'
_cell_length_a 5.148
_cell_length_b 5.166
_cell_length_c 10.272
_cell_angle_alpha 90.00
_cell_angle_beta 90.08
_cell_angle_gamma 90.00
_symmetry_space_group_name_H-M 'P 1 2/m 1'
_symmetry_Int_Tables_number 10
loop_
_symmetry_equiv_pos_as_xyz
'x,y,z'
'-x,-y,-z'
'-x,y,-z'
'x,-y,z'
loop_
_atom_site_label
_atom_site_fract_x
_atom_site_fract_y
_atom_site_fract_z
Pm1 0.000 0.000 0.000
Pm2 0.500 0.500 0.500
Nd1 0.000 0.500 0.247
Nd2 0.500 0.000 0.248
Sm1 0.000 0.000 0.500
Tm1 0.500 0.500 0.000


Record 14
# Tm3N2 PBE optimized geometry
# Calculated volume: 261.3 Å³/cell
# ΔE_f (raw): -1.41 eV/atom
# Spin magnetization: 0.6 μB per cell
data_Tm3N2
_chemical_formula_sum 'Tm9 N6'
_cell_length_a 3.4220
_cell_length_b 3.4220
_cell_length_c 25.7703
_cell_angle_alpha 90.00
_cell_angle_beta 90.00
_cell_angle_gamma 120.00
_symmetry_space_group_name_H-M 'R -3 m'
_symmetry_Int_Tables_number 166
_symmetry_space_group_name_Hall '-R 3 2"'
loop_
_atom_site_label
_atom_site_fract_x
_atom_site_fract_y
_atom_site_fract_z
Tm1 0.0000 0.0000 0.0000
Tm2 0.0000 0.0000 0.2293
N1 0.0000 0.0000 0.3890


Record 15
# TiTeMoI2 PBE optimized geometry
# Calculated volume: 166.9 Å³/cell
# ΔE_f (raw): 0.62 eV/atom
# ΔE to the lowest computed polymorph: 0.00 eV per formula unit
# Spin magnetization: 6.0 μB per cell
data_TiTeMoI2
_chemical_formula_sum 'Ti1 Te1 Mo1 I2'
_cell_length_a 5.554
_cell_length_b 5.554
_cell_length_c 5.411
_cell_angle_alpha 90.00
_cell_angle_beta 90.00
_cell_angle_gamma 90.00
_symmetry_space_group_name_H-M 'P 4/m m m'
_symmetry_Int_Tables_number 123
_symmetry_space_group_name_Hall '-P 4 2'
loop_
_atom_site_label
_atom_site_fract_x
_atom_site_fract_y
_atom_site_fract_z
Ti1 0.000 0.000 0.000
Te1 0.000 0.000 0.500
Mo1 0.500 0.500 0.500
I1 0.000 0.500 0.000


Record 16
# Ho3Er7Sc PBE optimized geometry
# Calculated volume: 688.0 Å³/cell
# ΔE to the lowest computed polymorph: 1.25 eV per formula unit
# Energy relative to the elements: 0.27 eV per atom
# Spin magnetization: 1.0 μB per cell
data_Ho3Er7Sc
_chemical_formula_sum 'Ho6 Er14 Sc2'
_cell_length_a 12.350
_cell_length_b 11.103
_cell_length_c 5.638
_cell_angle_alpha 90.00
_cell_angle_beta 117.14
_cell_angle_gamma 90.00
_symmetry_space_group_name_H-M 'C 1 2/m 1'
_symmetry_Int_Tables_number 12
loop_
_symmetry_equiv_pos_as_xyz
'x,y,z'
'-x,-y,-z'
'-x,y,-z'
'x,-y,z'
'x+1/2,y+1/2,z'
'-x+1/2,-y+1/2,-z'
'-x+1/2,y+1/2,-z'
'x+1/2,-y+1/2,z'
loop_
_atom_site_label
_atom_site_fract_x
_atom_site_fract_y
_atom_site_fract_z
Ho1 0.000 0.000 0.000
Ho2 0.000 0.206 0.500
Er1 0.000 0.500 0.500
Er2 0.195 0.204 0.195
Er3 0.214 0.000 0.713
Sc1 0.000 0.500 0.000


Record 17
# SiGeP2 PBE optimized geometry
# Calculated volume: 164.1 Å³/cell
# ΔE_f (raw): 0.04 eV/atom
# ΔE to the lowest computed polymorph: 0.00 eV per formula unit
# Spin magnetization: 0.0 μB per cell
data_SiGeP2
_chemical_formula_sum 'Si2 Ge2 P4'
_cell_length_a 3.533
_cell_length_b 6.782
_cell_length_c 7.211
_cell_angle_alpha 100.40
_cell_angle_beta 90.09
_cell_angle_gamma 104.88
_symmetry_space_group_name_H-M 'P -1'
_symmetry_Int_Tables_number 2
loop_
_symmetry_equiv_pos_as_xyz
'x,y,z'
'-x,-y,-z'
loop_
_atom_site_label
_atom_site_fract_x
_atom_site_fract_y
_atom_site_fract_z
Si1 0.022 0.044 0.350
Ge1 0.301 0.598 0.296
P1 0.127 0.254 0.860
P2 0.368 0.733 0.645


Record 18
# SrAlNi2 PBE optimized geometry
# Calculated volume: 156.2 Å³/cell
# Energy relative to the elements: -0.06 eV per atom
# Spin magnetization: 0.0 μB per cell
data_SrAlNi2
_chemical_formula_sum 'Sr2 Al2 Ni4'
_cell_length_a 3.780
_cell_length_b 3.548
_cell_length_c 11.646
_cell_angle_alpha 90.00
_cell_angle_beta 90.00
_cell_angle_gamma 90.00
_symmetry_space_group_name_H-M 'A m m 2'
_symmetry_Int_Tables_number 38
loop_
_symmetry_equiv_pos_as_xyz
'x,y,z'
'-x,-y,z'
'-x,y,z'
'x,-y,z'
'x,y+1/2,z+1/2'
'-x,-y+1/2,z+1/2'
'-x,y+1/2,z+1/2'
'x,-y+1/2,z+1/2'
loop_
_atom_site_label
_atom_site_fract_x
_atom_site_fract_y
_atom_site_fract_z
Sr1 0.000 0.000 0.000
Al1 0.500 0.000 0.725
Ni1 0.000 0.000 0.250
Ni2 0.500 0.000 0.367


Record 19
# NaHfSe2F PBE optimized geometry
# Calculated volume: 114.0 Å³/cell
# ΔE_f (raw): -1.81 eV/atom
# Spin magnetization: 0.0 μB per cell
data_NaHfSe2F
_chemical_formula_sum 'Na1 Hf1 Se2 F1'
_cell_length_a 5.242
_cell_length_b 5.242
_cell_length_c 4.150
_cell_angle_alpha 90.00
_cell_angle_beta 90.00
_cell_angle_gamma 90.00
_symmetry_space_group_name_H-M 'P 4/m m m'
_symmetry_Int_Tables_number 123
_symmetry_space_group_name_Hall '-P 4 2'
loop_
_atom_site_label
_atom_site_fract_x
_atom_site_fract_y
_atom_site_fract_z
Na1 0.000 0.000 0.000
Hf1 0.500 0.500 0.500
Se1 0.000 0.500 0.500
F1 0.500 0.500 0.000


Record 20
# MnAs3Se PBE optimized geometry
# Calculated volume: 97.1 Å³/cell
# ΔE_f (raw): 0.33 eV/atom
# ΔE to the lowest computed polymorph: 0.00 eV per formula unit
# Spin magnetization: 0.0 μB per cell
data_MnAs3Se
_chemical_formula_sum 'Mn1 As3 Se1'
_cell_length_a 4.596
_cell_length_b 4.596
_cell_length_c 4.596
_cell_angle_alpha 90.00
_cell_angle_beta 90.00
_cell_angle_gamma 90.00
_symmetry_space_group_name_H-M 'P m -3 m'
_symmetry_Int_Tables_number 221
_symmetry_space_group_name_Hall '-P 4 2 3'
loop_
_atom_site_label
_atom_site_fract_x
_atom_site_fract_y
_atom_site_fract_z
Mn1 0.000 0.000 0.000
As1 0.000 0.000 0.500
Se1 0.500 0.500 0.500


Record 21
# Pr2Sn3Pd2 PBE optimized geometry
# Calculated volume: 688.2 Å³/cell
# ΔE to the lowest computed polymorph: 0.00 eV per formula unit
# Energy relative to the elements: -0.79 eV per atom
# Spin magnetization: 0.0 μB per cell
data_Pr2Sn3Pd2
_chemical_formula_sum 'Pr8 Sn12 Pd8'
_cell_length_a 4.593
_cell_length_b 20.007
_cell_length_c 7.489
_cell_angle_alpha 90.00
_cell_angle_beta 90.00
_cell_angle_gamma 90.00
_symmetry_space_group_name_H-M 'C m c m'
_symmetry_Int_Tables_number 63
_symmetry_space_group_name_Hall '-C 2c 2'
loop_
_atom_site_label
_atom_site_fract_x
_atom_site_fract_y
_atom_site_fract_z
Pr1 0.000 0.045 0.250
Pr2 0.000 0.162 0.750
Sn1 0.000 0.217 0.250
Sn2 0.000 0.431 0.055
Pd1 0.000 0.299 0.548